This record from the Alexandria database describes a relaxed structure of LiUGa4Ni2. The functional is PBE.

## Properties
- SG: P4/mmm, No. 123
- Calculated volume: 129.4 Å³/cell

Cell: 3.9724 3.9724 8.2015 Å, 90.00 90.00 90.00°
Last column: nearest neighbours and their distance in Å.
Positions (direct):
1 Li 0.0000 0.0000 0.0000  8 Ga 2.49
2 U 0.0000 0.0000 0.5000  8 Ni 3.04, 8 Ga 3.27
3 Ga 0.0000 0.5000 0.1834  2 Ni 2.46, 2 Li 2.49
4 Ga 0.5000 0.0000 0.8166  2 Ni 2.46, 2 Li 2.49
5 Ga 0.5000 0.0000 0.1834  2 Ni 2.46, 2 Li 2.49
6 Ga 0.0000 0.5000 0.8166  2 Ni 2.46, 2 Li 2.49
7 Ni 0.5000 0.5000 0.3596  1 Ni 2.30, 4 Ga 2.46
8 Ni 0.5000 0.5000 0.6404  1 Ni 2.30, 4 Ga 2.46

This record from the Alexandria database describes a relaxed structure of LiGa2NiW. The functional is PBE.

## Properties
- SG: P4/mmm, No. 123
- Calculated volume: 91.7 Å³/cell

Cell: 4.4421 4.4421 4.6447 Å, 90.00 90.00 90.00°
Last column: nearest neighbours and their distance in Å.
Positions (direct):
1 Ni 0.0000 0.0000 0.0000  4 Ga 2.22, 2 W 2.32
2 Ga 0.0000 0.5000 0.0000  2 Ni 2.22
3 Ga 0.5000 0.0000 0.0000  2 Ni 2.22
4 W 0.0000 0.0000 0.5000  2 Ni 2.32
5 Li 0.5000 0.5000 0.5000  4 W 3.14, 8 Ga 3.21

| no. | formation energy (meV/atom) |
| --- | --- |
| 1 | -176 |
| 2 | 633 |